[1]
DFT (GGA-PBE) results for an optimized crystal structure of Na3Tb3CeS8.

a = 8.0451 Å, b = 8.0451 Å, c = 20.0557 Å
α = 90.00°, β = 90.00°, γ = 120.00°
With the nearest neighbours (Å) after each atom.
Space group R-3m (No. 166, hexagonal axes)
Symmetry-distinct sites (fractional):
Na  0.0000  0.5000  0.0000 x9  6 S 2.95-2.97
Tb  0.0000  0.5000  0.5000 x9  6 S 2.76-2.78
Ce  0.0000  0.0000  0.5000 x3  6 S 2.73
S  0.0000  0.0000  0.2424 x6  3 Tb 2.78, 3 Na 2.95
S  0.0032  0.5016  0.2404 x18  1 Ce 2.73, 2 Tb 2.76, 2 Na 2.97

[2]
DFT (GGA-PBE) results for an optimized crystal structure of NaTbCe2S4.

a = 6.9606 Å, b = 4.0048 Å, c = 6.9641 Å
α = 90.00°, β = 109.35°, γ = 90.00°
With the nearest neighbours (Å) after each atom.
Space group P2/m (No. 10)
Symmetry-distinct sites (fractional):
Na  0.0000  0.0000  0.0000 x1  6 S 2.82-2.84
Tb  0.5000  0.5000  0.0000 x1  6 S 2.80
Ce  0.0000  0.5000  0.5000 x1  6 S 2.88
Ce  0.5000  0.0000  0.5000 x1  6 S 2.84-2.86
S  0.2541  0.5000  0.2465 x2  1 Tb 2.80, 3 Ce 2.84-2.88, 2 Na 2.84
S  0.2552  0.0000  0.7587 x2  2 Tb 2.80, 1 Na 2.82, 3 Ce 2.86-2.88

[3]
DFT (GGA-PBE) results for an optimized crystal structure of Na2Tb2CeS6.

a = 6.9826 Å, b = 12.0755 Å, c = 7.0793 Å
α = 90.00°, β = 109.13°, γ = 90.00°
With the nearest neighbours (Å) after each atom.
Space group C2/m (No. 12)
Symmetry-distinct sites (fractional):
Na  0.0000  0.1684  0.0000 x4  6 S 2.96-2.98
Tb  0.0000  0.3344  0.5000 x4  6 S 2.75-2.78
Ce  0.0000  0.0000  0.5000 x2  6 S 2.71-2.75
S  0.2366  0.1676  0.7209 x8  2 Tb 2.75-2.78, 1 Ce 2.75, 2 Na 2.96-2.97
S  0.2473  0.5000  0.7210 x4  1 Ce 2.71, 2 Tb 2.77, 2 Na 2.98

Taking the records one at a time from the top gives raw total energy values of -5.600 -6.170 -5.674 eV/atom.